No. 1
# Cu2PtBr, relaxed, DFT PBE-GGA
data_Cu2PtBr
_chemical_formula_sum 'Cu2 Pt1 Br1'
_space_group_name_H-M_alt 'P m m m'
_space_group_IT_number 47
_space_group_name_Hall '-P 2 2'
_cell_length_a 3.1749
_cell_length_b 3.1870
_cell_length_c 6.7827
_cell_angle_alpha 90.00
_cell_angle_beta 90.00
_cell_angle_gamma 90.00
loop_
_atom_site_label
_atom_site_fract_x
_atom_site_fract_y
_atom_site_fract_z
_atom_site_occupancy
Cu1 0.0000 0.0000 0.2018 1
Pt1 0.5000 0.5000 0.0000 1
Br1 0.5000 0.0000 0.5000 1
# Raw formation energy   2.5 kcal/mol of atoms
# Spin magnetization   0.00 μB per atom
# E above lowest polymorph   0 meV per atom
# Calculated volume   17.2 Å³ per atom
# DFT total energy   -15.48 eV per formula unit

No. 2
# CuPt2Br, relaxed, DFT PBE-GGA
data_CuPt2Br
_chemical_formula_sum 'Cu2 Pt4 Br2'
_space_group_name_H-M_alt 'I m m m'
_space_group_IT_number 71
_space_group_name_Hall '-I 2 2'
_cell_length_a 2.7714
_cell_length_b 4.7021
_cell_length_c 10.3951
_cell_angle_alpha 90.00
_cell_angle_beta 90.00
_cell_angle_gamma 90.00
loop_
_atom_site_label
_atom_site_fract_x
_atom_site_fract_y
_atom_site_fract_z
_atom_site_occupancy
Cu1 0.0000 0.0000 0.0000 1
Pt1 0.0000 0.5000 0.2726 1
Br1 0.0000 0.0000 0.5000 1
# Raw formation energy   9.2 kcal/mol of atoms
# Spin magnetization   0.00 μB per atom
# E above lowest polymorph   172 meV per atom
# Calculated volume   16.9 Å³ per atom
# DFT total energy   -16.26 eV per formula unit

No. 3
# Cu2PtBr, relaxed, DFT PBE-GGA
data_Cu2PtBr
_chemical_formula_sum 'Cu2 Pt1 Br1'
_space_group_name_H-M_alt 'P 4/m m m'
_space_group_IT_number 123
_space_group_name_Hall '-P 4 2'
_cell_length_a 4.4240
_cell_length_b 4.4240
_cell_length_c 3.1886
_cell_angle_alpha 90.00
_cell_angle_beta 90.00
_cell_angle_gamma 90.00
loop_
_atom_site_label
_atom_site_fract_x
_atom_site_fract_y
_atom_site_fract_z
_atom_site_occupancy
Cu1 0.0000 0.5000 0.0000 1
Pt1 0.0000 0.0000 0.5000 1
Br1 0.5000 0.5000 0.5000 1
# Raw formation energy   8.4 kcal/mol of atoms
# Spin magnetization   0.00 μB per atom
# E above lowest polymorph   258 meV per atom
# Calculated volume   15.6 Å³ per atom
# DFT total energy   -14.45 eV per formula unit

No. 4
# Cu2PtBr, relaxed, DFT PBE-GGA
data_Cu2PtBr
_chemical_formula_sum 'Cu4 Pt2 Br2'
_space_group_name_H-M_alt 'C 1 2/m 1'
_space_group_IT_number 12
_space_group_name_Hall '-C 2y'
_cell_length_a 5.6349
_cell_length_b 3.3443
_cell_length_c 7.4337
_cell_angle_alpha 90.00
_cell_angle_beta 105.67
_cell_angle_gamma 90.00
loop_
_atom_site_label
_atom_site_fract_x
_atom_site_fract_y
_atom_site_fract_z
_atom_site_occupancy
Cu1 0.2463 0.0000 0.2403 1
Pt1 0.0000 0.5000 0.0000 1
Br1 0.0000 0.0000 0.5000 1
# Raw formation energy   4.6 kcal/mol of atoms
# Spin magnetization   0.00 μB per atom
# E above lowest polymorph   93 meV per atom
# Calculated volume   16.9 Å³ per atom
# DFT total energy   -15.11 eV per formula unit

No. 5
# Cu2PtBr, relaxed, DFT PBE-GGA
data_Cu2PtBr
_chemical_formula_sum 'Cu4 Pt2 Br2'
_space_group_name_H-M_alt 'C 1 m 1'
_space_group_IT_number 8
_space_group_name_Hall 'C -2y'
_cell_length_a 8.1643
_cell_length_b 3.0476
_cell_length_c 6.3407
_cell_angle_alpha 90.00
_cell_angle_beta 100.79
_cell_angle_gamma 90.00
loop_
_atom_site_label
_atom_site_fract_x
_atom_site_fract_y
_atom_site_fract_z
_atom_site_occupancy
Cu1 0.0000 0.0000 0.0000 1
Cu2 0.2408 0.5000 0.1559 1
Pt1 0.2612 0.0000 0.8330 1
Br1 0.1439 0.5000 0.4883 1
# Raw formation energy   4.8 kcal/mol of atoms
# Spin magnetization   0.00 μB per atom
# E above lowest polymorph   102 meV per atom
# Calculated volume   19.4 Å³ per atom
# DFT total energy   -15.07 eV per formula unit

No. 6
# Cu2PtBr, relaxed, DFT PBE-GGA
data_Cu2PtBr
_chemical_formula_sum 'Cu8 Pt4 Br4'
_space_group_name_H-M_alt 'F m -3 m'
_space_group_IT_number 225
_space_group_name_Hall '-F 4 2 3'
_cell_length_a 6.3383
_cell_length_b 6.3383
_cell_length_c 6.3383
_cell_angle_alpha 90.00
_cell_angle_beta 90.00
_cell_angle_gamma 90.00
loop_
_atom_site_label
_atom_site_fract_x
_atom_site_fract_y
_atom_site_fract_z
_atom_site_occupancy
Cu1 0.2500 0.2500 0.2500 1
Pt1 0.0000 0.0000 0.0000 1
Br1 0.0000 0.0000 0.5000 1
# Raw formation energy   10.6 kcal/mol of atoms
# Spin magnetization   0.00 μB per atom
# E above lowest polymorph   353 meV per atom
# Calculated volume   15.9 Å³ per atom
# DFT total energy   -14.07 eV per formula unit

No. 7
# CuPt2Br, relaxed, DFT PBE-GGA
data_CuPt2Br
_chemical_formula_sum 'Cu2 Pt4 Br2'
_space_group_name_H-M_alt 'I 4/m m m'
_space_group_IT_number 139
_space_group_name_Hall '-I 4 2'
_cell_length_a 3.9276
_cell_length_b 3.9276
_cell_length_c 8.6038
_cell_angle_alpha 90.00
_cell_angle_beta 90.00
_cell_angle_gamma 90.00
loop_
_atom_site_label
_atom_site_fract_x
_atom_site_fract_y
_atom_site_fract_z
_atom_site_occupancy
Cu1 0.0000 0.0000 0.0000 1
Pt1 0.0000 0.5000 0.2500 1
Br1 0.0000 0.0000 0.5000 1
# Raw formation energy   12.8 kcal/mol of atoms
# Spin magnetization   0.00 μB per atom
# E above lowest polymorph   329 meV per atom
# Calculated volume   16.6 Å³ per atom
# DFT total energy   -15.63 eV per formula unit

No. 8
# CuPtBr, relaxed, DFT PBE-GGA
data_CuPtBr
_chemical_formula_sum 'Cu1 Pt1 Br1'
_space_group_name_H-M_alt 'P 3 m 1'
_space_group_IT_number 156
_space_group_name_Hall 'P 3 -2"'
_cell_length_a 3.3291
_cell_length_b 3.3291
_cell_length_c 5.5516
_cell_angle_alpha 90.00
_cell_angle_beta 90.00
_cell_angle_gamma 120.00
loop_
_atom_site_label
_atom_site_fract_x
_atom_site_fract_y
_atom_site_fract_z
_atom_site_occupancy
Cu1 0.0000 0.0000 0.0000 1
Pt1 0.6667 0.3333 0.2995 1
Br1 0.3333 0.6667 0.6841 1
# Raw formation energy   7.6 kcal/mol of atoms
# Spin magnetization   0.00 μB per atom
# E above lowest polymorph   0 meV per atom
# Calculated volume   17.8 Å³ per atom
# DFT total energy   -10.83 eV per formula unit

> The lowest DFT total energy belongs to which entry?

number 2